Material: Pm4Si3Ag
Method: DFT, PBE
State: relaxed

Cell: 4.0332 4.3789 11.1758 Å, 90.00 90.00 90.00°
Closest atoms and distances in Å follow each position.
Fractional coordinates of all 8 atoms:
Pm 0.0000 0.0000 0.0000  5 Si 3.05-3.15, 2 Ag 3.24
Pm 0.0000 0.5000 0.4888  6 Si 3.07-3.18, 1 Ag 3.32
Pm 0.5000 0.0000 0.7095  4 Ag 3.10, 3 Si 3.21-3.38
Pm 0.5000 0.5000 0.2163  7 Si 3.07-3.18
Si 0.0000 0.0000 0.2821  2 Si 2.55
Si 0.5000 0.0000 0.4224  2 Si 2.55
Si 0.5000 0.5000 0.9402  2 Ag 2.65
Ag 0.0000 0.5000 0.7859  2 Si 2.65

Summary:
Space group = Pmm2, No. 25
Formation energy from raw total energies = -0.605 eV/atom